SmGdDyTl (GGA-PBE, optimized geometry); space group = F-43m; DOS at the Fermi energy = 4.91 states/eV/cell; total magnetic moment = 2.151 μB/atom; E_form = -0.07 eV per atom
1.0
-1.364 -3.143 -4.324
3.382 -4.032 -1.656
-1.417 -5.277 0.763
Dy Gd Tl Sm
1 1 1 1
direct
0.250 0.250 0.250
0.500 0.500 0.500
0.750 0.750 0.750
0.000 0.000 0.000